# Rb4Pu3MnO8

Rb4Pu3MnO8 after structural relaxation (GGA+U, the Alexandria database).

a = 7.705 Å, b = 7.705 Å, c = 7.705 Å
α = 54.69°, β = 54.69°, γ = 54.69°
Sites, in units of the cell vectors:
Rb1 0.000 0.000 0.000
Rb2 0.000 0.500 0.500
Rb3 0.500 0.000 0.500
Rb4 0.500 0.500 0.000
Pu1 0.000 0.000 0.500
Pu2 0.000 0.500 0.000
Pu3 0.500 0.000 0.000
Mn1 0.500 0.500 0.500
O1 0.219 0.728 0.728
O2 0.226 0.226 0.226
O3 0.272 0.272 0.781
O4 0.272 0.781 0.272
O5 0.728 0.219 0.728
O6 0.728 0.728 0.219
O7 0.774 0.774 0.774
O8 0.781 0.272 0.272

Values from the calculation:
Volume ... 17.711 A^3/atom
E ... -128.77 eV per cell
Crystal system ... trigonal